Version a
HgMoP2 | PBE | relaxed

Computed properties:
* calculated volume: 69.3 Å³/f.u.
* magnetization: 0.000 μB per cell

abc: 4.517 3.425 4.801
angles: 68.92 90.00 90.00
Element x y z (fractional)
Mo 0.500 0.925 0.776
P 0.000 0.812 0.999
P 0.500 0.223 0.178
Hg 0.000 0.541 0.547

***

Version b
HgMoP2 | PBE | relaxed

Computed properties:
* calculated volume: 70.9 Å³/f.u.
* magnetization: 0.001 μB per cell

abc: 4.455 4.455 5.421
angles: 83.63 83.63 41.61
Element x y z (fractional)
Hg 0.750 0.750 0.750
P 0.529 0.529 0.411
P 0.971 0.971 0.089
Mo 0.250 0.250 0.250

***

Q: Which of them is the least stable? A: version a.

***

Version a
HgMo3P | PBE | relaxed

Computed properties:
* calculated volume: 90.6 Å³/f.u.
* magnetization: 0.000 μB per cell

abc: 4.491 4.491 4.491
angles: 90.00 90.00 90.00
Element x y z (fractional)
Hg 0.500 0.500 0.500
Mo 0.500 0.000 0.000
Mo 0.000 0.500 0.000
Mo 0.000 0.000 0.500
P 0.000 0.000 0.000

***

Version b
HgMo3P | PBE | relaxed

Computed properties:
* calculated volume: 134.0 Å³/f.u.
* magnetization: 9.046 μB per cell

abc: 5.117 5.117 5.117
angles: 90.00 90.00 90.00
Each line ends with the local moment (μB).
Element x y z (fractional)
Mo 0.000 0.500 0.000  2.60
Mo 0.500 0.000 0.000  2.43
Mo 0.000 0.000 0.500  3.02
P 0.500 0.500 0.500  -0.28
Hg 0.000 0.000 0.000  0.06

***

Q: Which of them is the least stable? A: version b.

***

Version a
Pa2HgMo | PBE | relaxed

Computed properties:
* calculated volume: 96.3 Å³/f.u.
* magnetization: 0.000 μB per cell

abc: 3.168 3.168 11.234
angles: 81.90 81.90 60.00
Element x y z (fractional)
Hg 0.000 0.000 0.000
Mo 0.500 0.500 0.500
Pa 0.902 0.902 0.294
Pa 0.098 0.098 0.706

***

Version b
Pa2HgMo | PBE | relaxed

Computed properties:
* calculated volume: 92.6 Å³/f.u.
* magnetization: 0.000 μB per cell

abc: 3.252 3.252 8.753
angles: 90.00 90.00 90.00
Element x y z (fractional)
Pa 0.000 0.000 0.212
Pa 0.000 0.000 0.788
Mo 0.500 0.500 0.000
Hg 0.500 0.500 0.500

***

Q: Which of them is the least stable? A: version a.

***

Version a
HgMo2Pd2 | PBE | relaxed

Computed properties:
* calculated volume: 91.2 Å³/f.u.
* magnetization: 0.000 μB per cell

abc: 3.926 3.926 6.537
angles: 72.52 72.52 90.00
Element x y z (fractional)
Mo 0.594 0.594 0.812
Mo 0.406 0.406 0.188
Pd 0.750 0.250 0.500
Pd 0.250 0.750 0.500
Hg 0.000 0.000 0.000

***

Version b
HgMo2Pd2 | PBE | relaxed

Computed properties:
* calculated volume: 87.3 Å³/f.u.
* magnetization: 0.000 μB per cell

abc: 7.918 7.918 2.784
angles: 90.00 90.00 90.00
Element x y z (fractional)
Pd 0.175 0.675 0.500
Pd 0.325 0.175 0.500
Pd 0.675 0.825 0.500
Pd 0.825 0.325 0.500
Hg 0.000 0.000 0.000
Hg 0.500 0.500 0.000
Mo 0.113 0.387 0.000
Mo 0.887 0.613 0.000
Mo 0.613 0.113 0.000
Mo 0.387 0.887 0.000

***

Q: Which of them is the least stable? A: version a.

***

Version a
HgMoPt | PBE | relaxed

Computed properties:
* calculated volume: 59.5 Å³/f.u.
* magnetization: 0.000 μB per cell

abc: 4.383 4.383 4.383
angles: 60.00 60.00 60.00
Element x y z (fractional)
Hg 0.000 0.000 0.000
Pt 0.250 0.250 0.250
Mo 0.500 0.500 0.500

***

Version b
HgMoPt | PBE | relaxed

Computed properties:
* calculated volume: 51.6 Å³/f.u.
* magnetization: 0.000 μB per cell

abc: 4.653 4.653 2.754
angles: 90.00 90.00 120.00
Element x y z (fractional)
Pt 0.333 0.667 0.833
Hg 0.000 0.000 0.834
Mo 0.667 0.333 0.333

***

Version c
HgMoPt | PBE | relaxed

Computed properties:
* calculated volume: 52.2 Å³/f.u.
* magnetization: 0.000 μB per cell

abc: 6.553 6.553 2.895
angles: 77.24 77.24 25.52
Element x y z (fractional)
Mo 0.678 0.678 0.322
Hg 0.002 0.002 0.998
Pt 0.320 0.320 0.680

***

Q: Which of them is the least stable? A: version a.

***

Version a
HgMoPt | PBE | relaxed

Computed properties:
* calculated volume: 61.3 Å³/f.u.
* magnetization: 0.000 μB per cell

abc: 4.426 4.426 4.426
angles: 60.00 60.00 60.00
Element x y z (fractional)
Pt 0.000 0.000 0.000
Mo 0.250 0.250 0.250
Hg 0.500 0.500 0.500

***

Version b
HgMoPt | PBE | relaxed

Computed properties:
* calculated volume: 52.3 Å³/f.u.
* magnetization: 0.000 μB per cell

abc: 2.897 2.897 7.195
angles: 90.00 90.00 120.00
Element x y z (fractional)
Mo 0.667 0.333 0.352
Hg 0.000 0.000 0.001
Pt 0.333 0.667 0.647

***

Q: Which of them is the least stable? A: version a.

***

Version a
HgMoPt2 | PBE | relaxed

Computed properties:
* calculated volume: 67.0 Å³/f.u.
* magnetization: 0.654 μB per cell

abc: 4.988 4.988 2.843
angles: 89.98 89.98 108.63
Each line ends with the local moment (μB).
Element x y z (fractional)
Mo 0.000 0.500 0.500  0.47
Pt 0.000 0.000 0.000  0.06
Pt 0.500 0.500 0.000  0.06
Hg 0.500 0.000 0.500  0.01

***

Version b
HgMoPt2 | PBE | relaxed

Computed properties:
* calculated volume: 67.6 Å³/f.u.
* magnetization: 0.000 μB per cell

abc: 2.842 2.842 8.363
angles: 90.00 90.00 89.99
Element x y z (fractional)
Mo 0.500 0.500 0.750
Pt 0.000 0.000 0.525
Pt 0.000 0.000 0.975
Hg 0.500 0.500 0.250

***

Version c
HgMoPt2 | PBE | relaxed

Computed properties:
* calculated volume: 67.6 Å³/f.u.
* magnetization: 0.000 μB per cell

abc: 3.954 2.860 6.629
angles: 64.38 90.00 90.00
Element x y z (fractional)
Hg 0.500 0.250 0.250
Pt 0.000 0.026 0.974
Pt 0.000 0.474 0.526
Mo 0.500 0.750 0.750

***

Q: Which of them is the least stable? A: version a.

***

Version a
HgMoPt2 | PBE | relaxed

Computed properties:
* calculated volume: 68.3 Å³/f.u.
* magnetization: 0.001 μB per cell

abc: 2.830 4.953 4.871
angles: 90.00 90.00 90.00
Element x y z (fractional)
Mo 0.000 0.500 0.500
Pt 0.500 0.500 0.000
Pt 0.000 0.000 0.000
Hg 0.500 0.000 0.500

***

Version b
HgMoPt2 | PBE | relaxed

Computed properties:
* calculated volume: 68.0 Å³/f.u.
* magnetization: 0.000 μB per cell

abc: 9.650 9.650 9.650
angles: 17.13 17.13 17.13
Element x y z (fractional)
Mo 0.750 0.750 0.750
Pt 0.007 0.007 0.007
Pt 0.493 0.493 0.493
Hg 0.250 0.250 0.250

***

Q: Which of them is the least stable? A: version a.

***

Version a
RbHgMo3 | PBE | relaxed

Computed properties:
* calculated volume: 164.3 Å³/f.u.
* magnetization: 12.801 μB per cell

abc: 5.476 5.476 5.476
angles: 90.00 90.00 90.00
Each line ends with the local moment (μB).
Element x y z (fractional)
Mo 0.500 0.000 0.000  3.03
Mo 0.000 0.500 0.000  3.39
Mo 0.000 0.000 0.500  3.59
Rb 0.500 0.500 0.500  0.06
Hg 0.000 0.000 0.000  0.09

***

Version b
RbHgMo3 | PBE | relaxed

Computed properties:
* calculated volume: 104.4 Å³/f.u.
* magnetization: 0.000 μB per cell

abc: 4.709 4.709 4.709
angles: 90.00 90.00 90.00
Element x y z (fractional)
Mo 0.000 0.500 0.000
Mo 0.000 0.000 0.500
Mo 0.500 0.000 0.000
Hg 0.500 0.500 0.500
Rb 0.000 0.000 0.000

***

Q: Which of them is the least stable? A: version b.

***

Version a
RbHg3Mo | PBE | relaxed

Computed properties:
* calculated volume: 278.0 Å³/f.u.
* magnetization: 5.167 μB per cell

abc: 6.527 6.527 6.527
angles: 90.00 90.00 90.00
Each line ends with the local moment (μB).
Element x y z (fractional)
Hg 0.000 0.000 0.500  0.01
Hg 0.000 0.500 0.000  -0.01
Hg 0.500 0.000 0.000  0.00
Mo 0.500 0.500 0.500  4.08
Rb 0.000 0.000 0.000  -0.01

***

Version b
RbHg3Mo | PBE | relaxed

Computed properties:
* calculated volume: 168.7 Å³/f.u.
* magnetization: 2.671 μB per cell

abc: 5.525 5.525 5.525
angles: 90.00 90.00 90.00
Each line ends with the local moment (μB).
Element x y z (fractional)
Rb 0.500 0.500 0.500  0.00
Hg 0.500 0.000 0.000  0.03
Hg 0.000 0.000 0.500  0.07
Hg 0.000 0.500 0.000  0.06
Mo 0.000 0.000 0.000  2.06

***

Q: Which of them is the least stable? A: version a.

***

Version a
ReHgMo | PBE | relaxed

Computed properties:
* calculated volume: 50.4 Å³/f.u.
* magnetization: 0.000 μB per cell

abc: 5.011 5.011 5.011
angles: 146.99 132.13 59.38
Element x y z (fractional)
Hg 0.000 0.000 0.000
Mo 0.324 0.324 0.000
Re 0.675 0.675 0.000

***

Version b
ReHgMo | PBE | relaxed

Computed properties:
* calculated volume: 52.8 Å³/f.u.
* magnetization: 0.000 μB per cell

abc: 6.037 6.037 6.037
angles: 150.64 150.64 42.00
Element x y z (fractional)
Re 0.686 0.686 0.000
Hg 0.001 0.001 0.000
Mo 0.313 0.313 0.000

***

Q: Which of them is the least stable? A: version a.

***

Version a
ReHgMo | PBE | relaxed

Computed properties:
* calculated volume: 52.3 Å³/f.u.
* magnetization: 0.000 μB per cell

abc: 2.932 2.932 7.021
angles: 90.00 90.00 120.00
Element x y z (fractional)
Hg 0.000 0.000 0.999
Re 0.333 0.667 0.640
Mo 0.667 0.333 0.360

***

Version b
ReHgMo | PBE | relaxed

Computed properties:
* calculated volume: 52.7 Å³/f.u.
* magnetization: 0.000 μB per cell

abc: 7.586 7.386 2.809
angles: 83.23 75.20 21.57
Element x y z (fractional)
Mo 0.321 0.321 0.679
Hg 0.999 0.999 0.001
Re 0.680 0.680 0.320

***

Version c
ReHgMo | PBE | relaxed

Computed properties:
* calculated volume: 60.2 Å³/f.u.
* magnetization: 0.000 μB per cell

abc: 4.400 4.400 4.400
angles: 60.00 60.00 60.00
Element x y z (fractional)
Hg 0.000 0.000 0.000
Re 0.750 0.750 0.750
Mo 0.500 0.500 0.500

***

Q: Which of them is the least stable? A: version c.

***

Version a
Re3HgMo | PBE | relaxed

Computed properties:
* calculated volume: 106.0 Å³/f.u.
* magnetization: 1.970 μB per cell

abc: 4.733 4.733 4.733
angles: 90.00 90.00 90.00
Each line ends with the local moment (μB).
Element x y z (fractional)
Mo 0.000 0.000 0.000  -0.11
Re 0.500 0.000 0.000  0.72
Re 0.000 0.000 0.500  0.52
Re 0.000 0.500 0.000  0.67
Hg 0.500 0.500 0.500  -0.02

***

Version b
Re3HgMo | PBE | relaxed

Computed properties:
* calculated volume: 110.6 Å³/f.u.
* magnetization: 0.380 μB per cell

abc: 4.800 4.800 4.800
angles: 90.00 90.00 90.00
Each line ends with the local moment (μB).
Element x y z (fractional)
Hg 0.000 0.000 0.000  0.02
Re 0.500 0.000 0.000  0.28
Re 0.000 0.000 0.500  0.57
Re 0.000 0.500 0.000  0.41
Mo 0.500 0.500 0.500  -1.57

***

Q: Which of them is the least stable? A: version b.